No. 1
Material: RbBaBiO4
Method: DFT, PBE
State: relaxed

Values from the calculation:
Formation energy (no corrections): -1.597 eV per atom
Crystal system: orthorhombic
Space-group type: No. 63

Cell and atoms, written as POSCAR:
```
RbBaBiO4
1.0
3.074 -6.823 0.000
3.074 6.823 0.000
0.000 0.000 6.184
Rb Ba Bi O
2 2 2 8
Direct
0.096 0.904 0.750
0.904 0.096 0.250
0.393 0.607 0.750
0.607 0.393 0.250
0.252 0.748 0.250
0.748 0.252 0.750
0.000 0.500 0.000
0.000 0.500 0.500
0.101 0.899 0.250
0.407 0.593 0.250
0.500 0.000 0.000
0.500 0.000 0.500
0.593 0.407 0.750
0.899 0.101 0.750
```


No. 2
Material: TcPb2Br
Method: DFT, PBE
State: relaxed

Values from the calculation:
Formation energy (no corrections): 0.288 eV per atom
Crystal system: monoclinic
DOS at the Fermi energy: 3.29 states/eV/cell
Space-group type: No. 10

Cell and atoms, written as POSCAR:
```
TcPb2Br
1.0
3.451 0.000 0.000
0.000 3.477 0.000
-0.015 0.000 8.370
Tc Pb Br
1 2 1
Direct
0.000 0.000 0.000
0.499 0.500 0.805
0.501 0.500 0.195
0.500 0.000 0.500
```


No. 3
Material: KTe2Pb
Method: DFT, PBE
State: relaxed

Values from the calculation:
Formation energy (no corrections): -0.447 eV per atom
Crystal system: trigonal
DOS at the Fermi energy: 1.17 states/eV/cell
Space-group type: No. 164

Cell and atoms, written as POSCAR:
```
KTe2Pb
1.0
5.608 0.000 0.000
-2.804 4.857 0.000
0.000 0.000 11.046
K Te Pb
2 4 2
Direct
0.000 0.000 0.166
0.000 0.000 0.834
0.333 0.667 0.351
0.333 0.667 0.978
0.667 0.333 0.022
0.667 0.333 0.649
0.333 0.667 0.644
0.667 0.333 0.356
```


No. 4
Material: Nb2HgTeIr
Method: DFT, PBE
State: relaxed

Values from the calculation:
Formation energy (no corrections): 2.261 eV per atom
Crystal system: tetragonal
DOS at the Fermi energy: 5.72 states/eV/cell
Space-group type: No. 123

Cell and atoms, written as POSCAR:
```
Nb2HgTeIr
1.0
5.051 0.000 0.000
0.000 5.051 0.000
0.000 0.000 5.240
Nb Hg Te Ir
2 1 1 1
Direct
0.000 0.500 0.000
0.500 0.000 0.000
0.000 0.000 0.000
0.000 0.000 0.500
0.500 0.500 0.500
```


No. 5
Material: Li2HoTlBr6
Method: DFT, PBE
State: relaxed

Values from the calculation:
Formation energy (no corrections): -1.509 eV per atom
Crystal system: trigonal
DOS at the Fermi energy: 0.00 states/eV/cell
Space-group type: No. 146

Cell and atoms, written as POSCAR:
```
Li2HoTlBr6
1.0
3.643 2.103 6.672
-3.643 2.103 6.672
0.000 -4.206 6.672
Li Ho Tl Br
2 1 1 6
Direct
0.000 0.000 0.000
0.491 0.491 0.491
0.805 0.805 0.805
0.285 0.285 0.285
0.071 0.397 0.744
0.221 0.819 0.650
0.397 0.744 0.071
0.650 0.221 0.819
0.744 0.071 0.397
0.819 0.650 0.221
```


No. 6
Material: PaSn2Hg
Method: DFT, PBE
State: relaxed

Values from the calculation:
Crystal system: tetragonal
DOS at the Fermi energy: 4.20 states/eV/cell
Space-group type: No. 123
Energy of formation from the pure elements: -0.233 eV/atom

Cell and atoms, written as POSCAR:
```
PaSn2Hg
1.0
4.753 0.000 0.000
0.000 4.753 0.000
0.000 0.000 4.395
Pa Sn Hg
1 2 1
Direct
0.000 0.000 0.000
0.000 0.500 0.500
0.500 0.000 0.500
0.500 0.500 0.000
```


No. 7
Material: TeRhF2
Method: DFT, PBE
State: relaxed

Values from the calculation:
Formation energy (no corrections): -0.276 eV per atom
Crystal system: cubic
DOS at the Fermi energy: 5.30 states/eV/cell
Space-group type: No. 225

Cell and atoms, written as POSCAR:
```
TeRhF2
1.0
0.000 3.084 3.084
3.084 0.000 3.084
3.084 3.084 0.000
Te Rh F
1 1 2
Direct
0.000 0.000 0.000
0.500 0.500 0.500
0.250 0.250 0.250
0.750 0.750 0.750
```


Computed values of raw total energy (unit: eV/atom) for the preceding records, in sequence: -5.397 -4.576 -3.219 -4.228 -3.590 -4.684 -3.835.